LaDyIn | GGA-PBE | relaxed

Cell: 3.6348 3.6348 14.1114 Å, 90.00 90.00 90.00°
With the nearest neighbours (Å) after each atom.
Space group I4mm (No. 107)
Asymmetric unit:
1 La 0.0000 0.0000 0.0000 (multiplicity 2)  4 In 3.46, 4 La 3.63, 4 Dy 3.76
2 Dy 0.0000 0.0000 0.3054 (multiplicity 2)  4 In 3.26, 4 Dy 3.63
3 In 0.0000 0.0000 0.6636 (multiplicity 2)  4 Dy 3.26, 4 La 3.46, 4 In 3.63

---

LaDyIn6 | GGA-PBE | relaxed

Cell: 4.7177 4.7177 9.4043 Å, 90.00 90.00 90.00°
With the nearest neighbours (Å) after each atom.
Space group P4/mmm (No. 123)
Asymmetric unit:
1 La 0.0000 0.0000 0.0000 (multiplicity 1)  12 In 3.34-3.38
2 Dy 0.0000 0.0000 0.5000 (multiplicity 1)  12 In 3.28-3.34
3 In 0.0000 0.5000 0.2571 (multiplicity 4)  8 In 3.28-3.38, 2 Dy 3.28, 2 La 3.38
4 In 0.5000 0.5000 0.0000 (multiplicity 1)  4 La 3.34, 8 In 3.38
5 In 0.5000 0.5000 0.5000 (multiplicity 1)  8 In 3.28, 4 Dy 3.34

---

Number 1: E_form -0.293 eV/atom, spin magnetization 0.00 Bohr magnetons per cell. Number 2: E_form -0.451 eV/atom, spin magnetization 0.00 Bohr magnetons per cell.